Record 1
This record from the Alexandria database describes a relaxed Co2SiSn2 crystal. The functional is PBE.

Its total magnetization is 0.0 μB per formula unit. For the calculated volume, the calculation gives 182.2 Å³ per cell. Its energy relative to the lowest polymorph listed for this composition is 0.473 eV/atom. The raw formation energy comes out at 594.6 meV per atom.

The space group is I4/mmm (No. 139) and the conventional cell measures 4.086, 4.086 and 10.915 Å, with angles of 90.00, 90.00 and 90.00 degrees. Symmetry generates all atoms from Co at (0.000, 0.000, 0.104), Si at (0.000, 0.000, 0.500) and Sn at (0.000, 0.500, 0.250).


Record 2
This record from the Alexandria database describes a relaxed Sr3AlSb crystal. The functional is PBE.

Its total magnetization is 0.8 μB per formula unit. For the calculated volume, the calculation gives 242.3 Å³ per cell. Its energy relative to the lowest polymorph listed for this composition is 0.000 eV/atom. The raw formation energy comes out at -136.2 meV per atom.

The space group is Pm-3m (No. 221) and the conventional cell measures 6.235, 6.235 and 6.235 Å, with angles of 90.00, 90.00 and 90.00 degrees. Symmetry generates all atoms from Sr at (0.000, 0.000, 0.500), Al at (0.500, 0.500, 0.500) and Sb at (0.000, 0.000, 0.000).